{
  "formula": "CrMo3O",
  "functional": "PBE+U",
  "state": "optimized geometry",
  "total_energy_ev_per_atom": -4.59,
  "crystal_system": "cubic",
  "magmom_total_mub_per_fu": 9.06,
  "spacegroup": "Pm-3m, No. 221",
  "volume_a3_per_atom": 25.93,
  "cell": [[5.061, 0.000, 0.000], [0.000, 5.061, 0.000], [0.000, 0.000, 5.061]],
  "species": ["Cr", "Mo", "O", "Mo", "Mo"],
  "frac_coords": [[0.000, 0.000, 0.000], [0.500, 0.000, 0.000], [0.500, 0.500, 0.500], [0.000, 0.000, 0.500], [0.000, 0.500, 0.000]]
}